# 1
Below is an optimized crystal structure of Nb2TcSnH, with properties calculated at the GGA-PBE level.

Computed properties:
Energy in eV/atom: -7.67
Fermi-level density of states in states/eV per cell: 3.2

a b c (Å): 4.1746 4.1746 4.1946
angles (deg): 90.00 90.00 90.00
Atoms (fractional coordinates):
Nb: 0.0000 0.5000 0.0000
Nb: 0.5000 0.0000 0.0000
Tc: 0.0000 0.0000 0.5000
Sn: 0.5000 0.5000 0.5000
H: 0.0000 0.0000 0.0000

***

# 2
Below is an optimized crystal structure of In3Ag7Au2, with properties calculated at the GGA-PBE level.

Computed properties:
ΔH_f (0 K) in kcal/mol of atoms: 0.8
Fermi-level density of states in states/eV per cell: 3.8

a b c (Å): 9.7287 9.7287 9.7287
angles (deg): 33.57 33.57 33.57
Atoms (fractional coordinates):
In: 0.0000 0.0000 0.0000
In: 0.1412 0.1412 0.1412
In: 0.8588 0.8588 0.8588
Ag: 0.0815 0.5875 0.5875
Ag: 0.4125 0.4125 0.9185
Ag: 0.4125 0.9185 0.4125
Ag: 0.5000 0.5000 0.5000
Ag: 0.5875 0.0815 0.5875
Ag: 0.5875 0.5875 0.0815
Ag: 0.9185 0.4125 0.4125
Au: 0.3335 0.3335 0.3335
Au: 0.6665 0.6665 0.6665

***

# 3
Below is an optimized crystal structure of Pr8DyEr6, with properties calculated at the GGA-PBE level.

Computed properties:
ΔH_f (0 K) in kcal/mol of atoms: 4.0
Fermi-level density of states in states/eV per cell: 23.1

a b c (Å): 9.4573 9.4573 6.5937
angles (deg): 90.00 90.00 120.00
Atoms (fractional coordinates):
Pr: 0.0392 0.7506 0.1686
Pr: 0.2494 0.2886 0.1686
Pr: 0.2886 0.0392 0.8314
Pr: 0.3333 0.6667 0.1204
Pr: 0.6667 0.3333 0.8796
Pr: 0.7114 0.9608 0.1686
Pr: 0.7506 0.7114 0.8314
Pr: 0.9608 0.2494 0.8314
Dy: 0.0000 0.0000 0.5000
Er: 0.0961 0.6575 0.6563
Er: 0.3425 0.4386 0.6563
Er: 0.4386 0.0961 0.3437
Er: 0.5614 0.9039 0.6563
Er: 0.6575 0.5614 0.3437
Er: 0.9039 0.3425 0.3437

***

# 4
Below is an optimized crystal structure of Mg3BiTe, with properties calculated at the GGA-PBE level.

Computed properties:
Energy in eV/atom: -2.23
Fermi-level density of states in states/eV per cell: 3.2

a b c (Å): 5.4268 5.4268 5.4268
angles (deg): 90.00 90.00 90.00
Atoms (fractional coordinates):
Mg: 0.0000 0.0000 0.5000
Mg: 0.0000 0.5000 0.0000
Mg: 0.5000 0.0000 0.0000
Bi: 0.5000 0.5000 0.5000
Te: 0.0000 0.0000 0.0000

***

# 5
Below is an optimized crystal structure of Ba2MnIn, with properties calculated at the GGA-PBE level.

Computed properties:
ΔH_f (0 K) in kcal/mol of atoms: 4.0
Fermi-level density of states in states/eV per cell: 4.7

a b c (Å): 3.8765 3.8765 9.8410
angles (deg): 90.00 90.00 90.00
Atoms (fractional coordinates):
Ba: 0.0000 0.0000 0.0000
Ba: 0.5000 0.5000 0.3951
Mn: 0.5000 0.5000 0.7542
In: 0.0000 0.0000 0.6434

***

# 6
Below is an optimized crystal structure of Ga2Cu2Pd7, with properties calculated at the GGA-PBE level.

Computed properties:
ΔH_f (0 K) in kcal/mol of atoms: -2.0
Fermi-level density of states in states/eV per cell: 6.9

a b c (Å): 5.3384 5.3384 7.0939
angles (deg): 90.00 90.00 119.17
Atoms (fractional coordinates):
Ga: 0.2398 0.2398 0.0000
Ga: 0.7602 0.7602 0.0000
Cu: 0.2705 0.7295 0.5000
Cu: 0.7295 0.2705 0.5000
Pd: 0.0000 0.0000 0.5000
Pd: 0.0000 0.5000 0.1899
Pd: 0.0000 0.5000 0.8101
Pd: 0.5000 0.0000 0.1899
Pd: 0.5000 0.0000 0.8101
Pd: 0.5000 0.5000 0.2980
Pd: 0.5000 0.5000 0.7020

***

# 7
Below is an optimized crystal structure of Ir2AuOF, with properties calculated at the GGA-PBE level.

Computed properties:
Energy in eV/atom: -3.87
Fermi-level density of states in states/eV per cell: 4.7

a b c (Å): 4.0852 4.0852 5.0671
angles (deg): 90.00 90.00 90.00
Atoms (fractional coordinates):
Ir: 0.0000 0.5000 0.0000
Ir: 0.5000 0.0000 0.0000
Au: 0.0000 0.0000 0.5000
O: 0.5000 0.5000 0.5000
F: 0.0000 0.0000 0.0000

***

# 8
Below is an optimized crystal structure of La2Cl, with properties calculated at the GGA-PBE level.

Computed properties:
Energy in eV/atom: -4.55
Fermi-level density of states in states/eV per cell: 2.9

a b c (Å): 4.9796 4.9796 3.5639
angles (deg): 90.00 90.00 90.00
Atoms (fractional coordinates):
La: 0.0000 0.5000 0.0000
La: 0.5000 0.0000 0.0000
Cl: 0.0000 0.0000 0.5000

***

# 9
Below is an optimized crystal structure of Y4Ru, with properties calculated at the GGA-PBE level.

Computed properties:
ΔH_f (0 K) in kcal/mol of atoms: -0.9
Fermi-level density of states in states/eV per cell: 6.7

a b c (Å): 5.6802 5.6802 5.6802
angles (deg): 105.01 105.01 118.83
Atoms (fractional coordinates):
Y: 0.1556 0.3185 0.4741
Y: 0.3185 0.8444 0.1630
Y: 0.6815 0.1556 0.8370
Y: 0.8444 0.6815 0.5259
Ru: 0.5000 0.5000 0.0000

***

# 10
Below is an optimized crystal structure of K2RbWBr8, with properties calculated at the GGA-PBE level.

Computed properties:
Energy in eV/atom: -3.49
Fermi-level density of states in states/eV per cell: 5.9

a b c (Å): 6.0880 8.1228 10.0722
angles (deg): 89.69 89.70 74.76
Atoms (fractional coordinates):
K: 0.0015 0.0020 0.2776
K: 0.9985 0.9980 0.7224
Rb: 0.0000 0.5000 0.5000
W: 0.0000 0.5000 0.0000
Br: 0.1800 0.7474 0.0009
Br: 0.2723 0.3518 0.1761
Br: 0.2744 0.3555 0.8237
Br: 0.3157 0.7832 0.4996
Br: 0.6843 0.2168 0.5004
Br: 0.7256 0.6445 0.1763
Br: 0.7277 0.6482 0.8239
Br: 0.8200 0.2526 0.9991

***

# 11
Below is an optimized crystal structure of Co2TcMo, with properties calculated at the GGA-PBE level.

Computed properties:
ΔH_f (0 K) in kcal/mol of atoms: 0.8
Fermi-level density of states in states/eV per cell: 3.8

a b c (Å): 2.6202 3.7029 5.2450
angles (deg): 90.00 90.00 90.00
Atoms (fractional coordinates):
Co: 0.0000 0.0000 0.2428
Co: 0.0000 0.0000 0.7572
Tc: 0.5000 0.5000 0.0000
Mo: 0.5000 0.5000 0.5000

***

# 12
Below is an optimized crystal structure of Ca2CrAs, with properties calculated at the GGA-PBE level.

Computed properties:
ΔH_f (0 K) in kcal/mol of atoms: -1.2
Fermi-level density of states in states/eV per cell: 2.5

a b c (Å): 5.9336 5.9336 5.9336
angles (deg): 136.56 136.56 63.12
Atoms (fractional coordinates):
Ca: 0.0000 0.0000 0.0000
Ca: 0.7500 0.2500 0.5000
Cr: 0.2500 0.7500 0.5000
As: 0.5000 0.5000 0.0000

***

# 13
Below is an optimized crystal structure of NbTl2Se5, with properties calculated at the GGA-PBE level.

Computed properties:
Energy in eV/atom: -4.41
Fermi-level density of states in states/eV per cell: 3.8

a b c (Å): 8.2435 8.2435 8.2435
angles (deg): 140.08 122.27 72.50
Atoms (fractional coordinates):
Nb: 0.0000 0.0000 0.0000
Tl: 0.2862 0.7862 0.5000
Tl: 0.7594 0.2594 0.5000
Se: 0.1690 0.2036 0.5019
Se: 0.1690 0.6671 0.9654
Se: 0.1793 0.1793 0.0000
Se: 0.7017 0.2036 0.0346
Se: 0.7017 0.6671 0.4981

***

# 14
Below is an optimized crystal structure of CdFeP2S, with properties calculated at the GGA-PBE level.

Computed properties:
Energy in eV/atom: -3.37
Fermi-level density of states in states/eV per cell: 7.9

a b c (Å): 4.9095 4.9095 4.9553
angles (deg): 90.00 90.00 90.00
Atoms (fractional coordinates):
Cd: 0.0000 0.0000 0.0000
Fe: 0.5000 0.5000 0.5000
P: 0.0000 0.5000 0.0000
P: 0.5000 0.0000 0.0000
S: 0.0000 0.0000 0.5000

***

# 15
Below is an optimized crystal structure of K3CaEr2Se6, with properties calculated at the GGA-PBE level.

Computed properties:
Energy in eV/atom: -4.56
Fermi-level density of states in states/eV per cell: 8.4

a b c (Å): 7.2861 7.2861 8.0944
angles (deg): 98.63 98.63 120.01
Atoms (fractional coordinates):
K: 0.0000 0.0000 0.0000
K: 0.3361 0.6639 0.0000
K: 0.6639 0.3361 0.0000
Ca: 0.5000 0.5000 0.5000
Er: 0.1669 0.8331 0.5000
Er: 0.8331 0.1669 0.5000
Se: 0.0861 0.4312 0.2940
Se: 0.2235 0.2235 0.7053
Se: 0.4312 0.0861 0.2940
Se: 0.5688 0.9139 0.7060
Se: 0.7765 0.7765 0.2947
Se: 0.9139 0.5688 0.7060

***

# 16
Below is an optimized crystal structure of Ce2FeAs4Rh3, with properties calculated at the GGA-PBE level.

Computed properties:
ΔH_f (0 K) in kcal/mol of atoms: -19.4
Fermi-level density of states in states/eV per cell: 10.9

a b c (Å): 4.3199 4.3199 9.6861
angles (deg): 90.00 90.00 90.00
Atoms (fractional coordinates):
Ce: 0.0000 0.5000 0.2472
Ce: 0.5000 0.0000 0.7528
Fe: 0.5000 0.5000 0.0000
As: 0.0000 0.0000 0.5000
As: 0.0000 0.5000 0.8727
As: 0.5000 0.0000 0.1273
As: 0.5000 0.5000 0.5000
Rh: 0.0000 0.0000 0.0000
Rh: 0.0000 0.5000 0.6207
Rh: 0.5000 0.0000 0.3793

***

# 17
Below is an optimized crystal structure of Li3Ac3Tl8, with properties calculated at the GGA-PBE level.

Computed properties:
ΔH_f (0 K) in kcal/mol of atoms: -6.9
Fermi-level density of states in states/eV per cell: 7.1

a b c (Å): 9.4226 9.4226 10.3866
angles (deg): 123.28 123.28 31.53
Atoms (fractional coordinates):
Li: 0.0000 0.0000 0.0000
Li: 0.3404 0.3404 0.1844
Li: 0.6596 0.6596 0.8156
Ac: 0.0000 0.0000 0.5000
Ac: 0.2947 0.2947 0.7898
Ac: 0.7053 0.7053 0.2102
Tl: 0.1465 0.1465 0.3572
Tl: 0.1499 0.1499 0.9236
Tl: 0.3575 0.3575 0.4632
Tl: 0.4930 0.4930 0.1685
Tl: 0.5070 0.5070 0.8315
Tl: 0.6425 0.6425 0.5368
Tl: 0.8501 0.8501 0.0764
Tl: 0.8535 0.8535 0.6428

***

# 18
Below is an optimized crystal structure of AcTh2Ga, with properties calculated at the GGA-PBE level.

Computed properties:
ΔH_f (0 K) in kcal/mol of atoms: 0.0
Fermi-level density of states in states/eV per cell: 5.7

a b c (Å): 10.9735 10.9735 10.9735
angles (deg): 19.53 19.53 19.53
Atoms (fractional coordinates):
Ac: 0.0000 0.0000 0.0000
Th: 0.2369 0.2369 0.2369
Th: 0.4302 0.4302 0.4302
Ga: 0.8337 0.8337 0.8337

***

# 19
Below is an optimized crystal structure of Er3CoTe, with properties calculated at the GGA-PBE level.

Computed properties:
Energy in eV/atom: -5.27
Fermi-level density of states in states/eV per cell: 5.0

a b c (Å): 8.1140 8.1140 8.3527
angles (deg): 90.00 90.00 151.40
Atoms (fractional coordinates):
Er: 0.0820 0.9180 0.5000
Er: 0.2251 0.7749 0.0841
Er: 0.3933 0.6067 0.3335
Er: 0.6067 0.3933 0.8335
Er: 0.7749 0.2251 0.5841
Er: 0.9180 0.0820 0.0000
Co: 0.1940 0.8060 0.7348
Co: 0.8060 0.1940 0.2348
Te: 0.4257 0.5743 0.6964
Te: 0.5743 0.4257 0.1964

***

# 20
Below is an optimized crystal structure of Hf2ScGa9, with properties calculated at the GGA-PBE level.

Computed properties:
ΔH_f (0 K) in kcal/mol of atoms: -9.4
Fermi-level density of states in states/eV per cell: 6.9

a b c (Å): 4.1082 4.1082 12.3236
angles (deg): 90.00 90.00 90.00
Atoms (fractional coordinates):
Hf: 0.0000 0.0000 0.1661
Hf: 0.0000 0.0000 0.8339
Sc: 0.0000 0.0000 0.5000
Ga: 0.0000 0.5000 0.0000
Ga: 0.0000 0.5000 0.3330
Ga: 0.0000 0.5000 0.6670
Ga: 0.5000 0.0000 0.0000
Ga: 0.5000 0.0000 0.3330
Ga: 0.5000 0.0000 0.6670
Ga: 0.5000 0.5000 0.1666
Ga: 0.5000 0.5000 0.5000
Ga: 0.5000 0.5000 0.8334